[1]
Compound: Ga2CuPd5
Source: Alexandria
Functional: PBE
Structure: relaxed

a b c (Å): 5.4334 10.6273 4.0835
angles (deg): 90.00 90.00 90.00
Positions (direct):
Ga 0.1812 0.1349 0.0000
Ga 0.3188 0.6349 0.0000
Ga 0.6812 0.3651 0.0000
Ga 0.8188 0.8651 0.0000
Cu 0.0000 0.5000 0.5000
Cu 0.5000 0.0000 0.5000
Pd 0.0000 0.0000 0.5000
Pd 0.0971 0.7359 0.5000
Pd 0.1939 0.3892 0.0000
Pd 0.3061 0.8892 0.0000
Pd 0.4029 0.2359 0.5000
Pd 0.5000 0.5000 0.5000
Pd 0.5971 0.7641 0.5000
Pd 0.6939 0.1108 0.0000
Pd 0.8061 0.6108 0.0000
Pd 0.9029 0.2641 0.5000

Properties
Crystal system: orthorhombic
Calculated volume (Å³ per cell): 235.8
Energy relative to the elements (eV per atom): -0.4891
SG: Pbam (55)


[2]
Compound: GaCuPd2
Source: Alexandria
Functional: PBE
Structure: relaxed

a b c (Å): 4.0590 3.5061 8.0455
angles (deg): 90.00 90.00 90.00
Positions (direct):
Ga 0.2500 0.0000 0.1422
Ga 0.7500 0.0000 0.8578
Cu 0.2500 0.0000 0.6184
Cu 0.7500 0.0000 0.3816
Pd 0.2500 0.5000 0.3736
Pd 0.2500 0.5000 0.8802
Pd 0.7500 0.5000 0.1198
Pd 0.7500 0.5000 0.6264

Properties
Crystal system: orthorhombic
Calculated volume (Å³ per cell): 114.5
Energy relative to the elements (eV per atom): -0.4418
SG: Pmma (51)


[3]
Compound: GaCu4Pd3
Source: Alexandria
Functional: PBE
Structure: relaxed

a b c (Å): 9.9663 9.9663 4.5123
angles (deg): 96.10 96.10 15.48
Positions (direct):
Ga 0.0000 0.0000 0.0000
Cu 0.2692 0.2692 0.7603
Cu 0.3970 0.3970 0.8201
Cu 0.6030 0.6030 0.1799
Cu 0.7308 0.7308 0.2397
Pd 0.3443 0.3443 0.2947
Pd 0.5000 0.5000 0.5000
Pd 0.6557 0.6557 0.7053

Properties
Crystal system: monoclinic
Calculated volume (Å³ per cell): 118.9
Energy relative to the elements (eV per atom): 0.0424
SG: C2/m (12)


[4]
Compound: Ga6Cu2Pd
Source: Alexandria
Functional: PBE
Structure: relaxed

a b c (Å): 6.1841 6.1841 9.2029
angles (deg): 90.00 90.00 90.00
Positions (direct):
Ga 0.2139 0.2139 0.0000
Ga 0.2285 0.2285 0.3336
Ga 0.2285 0.2285 0.6664
Ga 0.2715 0.7285 0.1664
Ga 0.2715 0.7285 0.8336
Ga 0.2861 0.7139 0.5000
Ga 0.7139 0.2861 0.5000
Ga 0.7285 0.2715 0.1664
Ga 0.7285 0.2715 0.8336
Ga 0.7715 0.7715 0.3336
Ga 0.7715 0.7715 0.6664
Ga 0.7861 0.7861 0.0000
Cu 0.0000 0.0000 0.1780
Cu 0.0000 0.0000 0.8220
Cu 0.5000 0.5000 0.3220
Cu 0.5000 0.5000 0.6780
Pd 0.0000 0.0000 0.5000
Pd 0.5000 0.5000 0.0000

Properties
Crystal system: tetragonal
Calculated volume (Å³ per cell): 351.9
Energy relative to the elements (eV per atom): -0.0547
SG: P4_2/mnm (136)


[5]
Compound: Ga4CuPd2
Source: Alexandria
Functional: PBE
Structure: relaxed

a b c (Å): 6.4488 5.2980 7.0116
angles (deg): 90.00 112.66 90.00
Positions (direct):
Ga 0.0029 0.2500 0.4421
Ga 0.0734 0.2500 0.8556
Ga 0.4274 0.0049 0.7694
Ga 0.4274 0.4951 0.7694
Ga 0.5726 0.5049 0.2306
Ga 0.5726 0.9951 0.2306
Ga 0.9266 0.7500 0.1444
Ga 0.9971 0.7500 0.5579
Cu 0.2463 0.2500 0.2488
Cu 0.7537 0.7500 0.7512
Pd 0.2130 0.7500 0.9659
Pd 0.3416 0.7500 0.4208
Pd 0.6584 0.2500 0.5792
Pd 0.7870 0.2500 0.0341

Properties
Crystal system: monoclinic
Calculated volume (Å³ per cell): 221.1
Energy relative to the elements (eV per atom): -0.2907
SG: P2_1/m (11)


[6]
Compound: GaCu3Pd4
Source: Alexandria
Functional: PBE
Structure: relaxed

a b c (Å): 6.7562 6.7562 6.7562
angles (deg): 142.93 142.93 53.43
Positions (direct):
Ga 0.0000 0.0000 0.0000
Cu 0.2520 0.2520 0.0000
Cu 0.5000 0.5000 0.0000
Cu 0.7480 0.7480 0.0000
Pd 0.1240 0.6240 0.5000
Pd 0.3760 0.8760 0.5000
Pd 0.6240 0.1240 0.5000
Pd 0.8760 0.3760 0.5000

Properties
Crystal system: tetragonal
Calculated volume (Å³ per cell): 111.4
Energy relative to the elements (eV per atom): -0.3381
SG: I4/mmm (139)


[7]
Compound: Ga8Cu3Pd
Source: Alexandria
Functional: PBE
Structure: relaxed

a b c (Å): 5.8862 5.8862 5.8862
angles (deg): 90.00 90.00 90.00
Positions (direct):
Ga 0.2464 0.2464 0.2464
Ga 0.2464 0.2464 0.7536
Ga 0.2464 0.7536 0.2464
Ga 0.2464 0.7536 0.7536
Ga 0.7536 0.2464 0.2464
Ga 0.7536 0.2464 0.7536
Ga 0.7536 0.7536 0.2464
Ga 0.7536 0.7536 0.7536
Cu 0.0000 0.0000 0.5000
Cu 0.0000 0.5000 0.0000
Cu 0.5000 0.0000 0.0000
Pd 0.5000 0.5000 0.5000

Properties
Crystal system: cubic
Calculated volume (Å³ per cell): 203.9
Energy relative to the elements (eV per atom): -0.1967
SG: Pm-3m (221)


[8]
Compound: GaCu6Pd12
Source: Alexandria
Functional: PBE
Structure: relaxed

a b c (Å): 7.2134 7.2134 7.2134
angles (deg): 110.82 110.82 110.82
Positions (direct):
Ga 0.0000 0.0000 0.0000
Cu 0.0513 0.3669 0.5788
Cu 0.3669 0.5788 0.0513
Cu 0.4212 0.9487 0.6331
Cu 0.5788 0.0513 0.3669
Cu 0.6331 0.4212 0.9487
Cu 0.9487 0.6331 0.4212
Pd 0.1096 0.7385 0.1625
Pd 0.1625 0.1096 0.7385
Pd 0.2073 0.4753 0.3192
Pd 0.2615 0.8375 0.8904
Pd 0.3192 0.2073 0.4752
Pd 0.4752 0.3192 0.2073
Pd 0.5248 0.6808 0.7927
Pd 0.6808 0.7927 0.5248
Pd 0.7385 0.1625 0.1096
Pd 0.7927 0.5248 0.6808
Pd 0.8375 0.8904 0.2615
Pd 0.8904 0.2615 0.8375

Properties
Crystal system: trigonal
Calculated volume (Å³ per cell): 273.5
Energy relative to the elements (eV per atom): -0.1593
SG: R-3 (148)
E above lowest polymorph (kJ/mol of atoms): 0.0


[9]
Compound: Ga2Cu3Pd7
Source: Alexandria
Functional: PBE
Structure: relaxed

a b c (Å): 11.2946 11.2946 4.1339
angles (deg): 90.00 90.00 158.64
Positions (direct):
Ga 0.1516 0.8484 0.0000
Ga 0.8484 0.1516 0.0000
Cu 0.3487 0.6513 0.5000
Cu 0.5000 0.5000 0.5000
Cu 0.6513 0.3487 0.5000
Pd 0.0000 0.0000 0.0000
Pd 0.0803 0.9197 0.5000
Pd 0.2851 0.7149 0.0000
Pd 0.4191 0.5809 0.0000
Pd 0.5809 0.4191 0.0000
Pd 0.7149 0.2851 0.0000
Pd 0.9197 0.0803 0.5000

Properties
Crystal system: orthorhombic
Calculated volume (Å³ per cell): 192.1
Energy relative to the elements (eV per atom): -0.1774
SG: Cmmm (65)


[10]
Compound: GaCuPd3
Source: Alexandria
Functional: PBE
Structure: relaxed

a b c (Å): 4.6057 4.6057 4.6057
angles (deg): 90.00 90.00 90.00
Positions (direct):
Ga 0.0000 0.0000 0.0000
Cu 0.5000 0.5000 0.5000
Pd 0.0000 0.0000 0.5000
Pd 0.0000 0.5000 0.0000
Pd 0.5000 0.0000 0.0000

Properties
Crystal system: cubic
Calculated volume (Å³ per cell): 97.7
Energy relative to the elements (eV per atom): 0.4038
SG: Pm-3m (221)
E above lowest polymorph (kJ/mol of atoms): 80.9


[11]
Compound: Ga4Cu4Pd3
Source: Alexandria
Functional: PBE
Structure: relaxed

a b c (Å): 8.7399 8.7399 8.7399
angles (deg): 160.82 132.61 51.57
Positions (direct):
Ga 0.2008 0.0000 0.2008
Ga 0.2448 0.2448 0.0000
Ga 0.7552 0.7552 0.0000
Ga 0.7992 0.0000 0.7992
Cu 0.1732 0.8510 0.3221
Cu 0.4711 0.1490 0.3221
Cu 0.5289 0.8510 0.6779
Cu 0.8268 0.1490 0.6779
Pd 0.1079 0.6079 0.5000
Pd 0.5000 0.5000 0.0000
Pd 0.8921 0.3921 0.5000

Properties
Crystal system: orthorhombic
Calculated volume (Å³ per cell): 161.0
Energy relative to the elements (eV per atom): -0.2758
SG: Immm (71)


[12]
Compound: Ga2CuPd
Source: Alexandria
Functional: PBE
Structure: relaxed

a b c (Å): 5.0315 5.0315 5.0315
angles (deg): 48.71 48.71 48.71
Positions (direct):
Ga 0.0000 0.0000 0.0000
Ga 0.1932 0.1932 0.1932
Cu 0.7881 0.7881 0.7881
Pd 0.5885 0.5885 0.5885

Properties
Crystal system: trigonal
Calculated volume (Å³ per cell): 66.0
Energy relative to the elements (eV per atom): -0.2385
SG: R3m (160)
E above lowest polymorph (kJ/mol of atoms): 5.8


[13]
Compound: GaCu6Pd2
Source: Alexandria
Functional: PBE
Structure: relaxed

a b c (Å): 4.5158 4.5158 6.6279
angles (deg): 100.46 100.46 66.78
Positions (direct):
Ga 0.0000 0.0000 0.0000
Cu 0.2194 0.7074 0.3097
Cu 0.2484 0.2484 0.4991
Cu 0.2926 0.7806 0.6903
Cu 0.7074 0.2194 0.3097
Cu 0.7516 0.7516 0.5009
Cu 0.7806 0.2926 0.6903
Pd 0.3190 0.3190 0.9214
Pd 0.6810 0.6810 0.0786

Properties
Crystal system: monoclinic
Calculated volume (Å³ per cell): 121.2
Energy relative to the elements (eV per atom): -0.1120
SG: C2/m (12)


[14]
Compound: Ga6Cu5Pd
Source: Alexandria
Functional: PBE
Structure: relaxed

a b c (Å): 6.1473 6.1473 4.6926
angles (deg): 97.01 97.01 93.68
Positions (direct):
Ga 0.0823 0.4166 0.7506
Ga 0.2474 0.2474 0.2522
Ga 0.4166 0.0823 0.7506
Ga 0.5834 0.9177 0.2494
Ga 0.7526 0.7526 0.7478
Ga 0.9177 0.5834 0.2494
Cu 0.0000 0.0000 0.5000
Cu 0.1667 0.8333 0.0000
Cu 0.3269 0.6731 0.5000
Cu 0.6731 0.3269 0.5000
Cu 0.8333 0.1667 0.0000
Pd 0.5000 0.5000 0.0000

Properties
Crystal system: monoclinic
Calculated volume (Å³ per cell): 174.1
Energy relative to the elements (eV per atom): -0.1021
SG: C2/m (12)


[15]
Compound: Ga2Cu3Pd
Source: Alexandria
Functional: PBE
Structure: relaxed

a b c (Å): 4.9890 4.9890 8.2581
angles (deg): 103.12 103.12 90.13
Positions (direct):
Ga 0.0594 0.2829 0.2097
Ga 0.2829 0.0594 0.7097
Ga 0.7171 0.9406 0.2903
Ga 0.9406 0.7171 0.7903
Cu 0.2477 0.4364 0.9757
Cu 0.4173 0.5827 0.7500
Cu 0.4364 0.2477 0.4757
Cu 0.5636 0.7523 0.5243
Cu 0.5827 0.4173 0.2500
Cu 0.7523 0.5636 0.0243
Pd 0.1978 0.8022 0.2500
Pd 0.8022 0.1978 0.7500

Properties
Crystal system: monoclinic
Calculated volume (Å³ per cell): 194.6
Energy relative to the elements (eV per atom): -0.0521
SG: C2/c (15)
E above lowest polymorph (kJ/mol of atoms): 5.6


[16]
Compound: Ga3CuPd
Source: Alexandria
Functional: PBE
Structure: relaxed

a b c (Å): 8.9168 8.9168 4.5633
angles (deg): 104.63 104.63 81.06
Positions (direct):
Ga 0.0204 0.7735 0.6070
Ga 0.1405 0.5483 0.9501
Ga 0.2265 0.9796 0.8930
Ga 0.2722 0.4318 0.4905
Ga 0.4318 0.2722 0.9905
Ga 0.4517 0.8595 0.5499
Ga 0.5483 0.1405 0.4501
Ga 0.5682 0.7278 0.0095
Ga 0.7278 0.5682 0.5095
Ga 0.7735 0.0204 0.1070
Ga 0.8595 0.4517 0.0499
Ga 0.9796 0.2265 0.3930
Cu 0.1851 0.8149 0.2500
Cu 0.4310 0.5690 0.2500
Cu 0.5690 0.4310 0.7500
Cu 0.8149 0.1851 0.7500
Pd 0.1108 0.2689 0.9769
Pd 0.2689 0.1108 0.4769
Pd 0.7311 0.8892 0.5231
Pd 0.8892 0.7311 0.0231

Properties
Crystal system: monoclinic
Calculated volume (Å³ per cell): 338.1
Energy relative to the elements (eV per atom): -0.2141
SG: C2/c (15)
E above lowest polymorph (kJ/mol of atoms): 0.0


[17]
Compound: Ga2Cu2Pd
Source: Alexandria
Functional: PBE
Structure: relaxed

a b c (Å): 4.5520 4.5520 6.2260
angles (deg): 127.87 127.87 46.75
Positions (direct):
Ga 0.1960 0.1960 0.2815
Ga 0.8040 0.8040 0.7185
Cu 0.3979 0.3979 0.0931
Cu 0.6021 0.6021 0.9069
Pd 0.0000 0.0000 0.5000

Properties
Crystal system: monoclinic
Calculated volume (Å³ per cell): 69.9
Energy relative to the elements (eV per atom): -0.2734
SG: C2/m (12)
E above lowest polymorph (kJ/mol of atoms): 0.0


[18]
Compound: GaCu4Pd
Source: Alexandria
Functional: PBE
Structure: relaxed

a b c (Å): 4.1899 4.1899 5.1466
angles (deg): 90.23 90.23 60.11
Positions (direct):
Ga 0.0000 0.0000 0.0000
Cu 0.3329 0.3329 0.3095
Cu 0.3339 0.3339 0.8117
Cu 0.6661 0.6661 0.1883
Cu 0.6671 0.6671 0.6905
Pd 0.0000 0.0000 0.5000

Properties
Crystal system: monoclinic
Calculated volume (Å³ per cell): 78.3
Energy relative to the elements (eV per atom): -0.1318
SG: C2/m (12)
E above lowest polymorph (kJ/mol of atoms): 0.0


[19]
Compound: Ga4Cu5Pd
Source: Alexandria
Functional: PBE
Structure: relaxed

a b c (Å): 8.4022 8.5622 4.0724
angles (deg): 90.00 90.00 90.00
Positions (direct):
Ga 0.0661 0.2500 0.2433
Ga 0.2500 0.5624 0.2509
Ga 0.2500 0.9376 0.2509
Ga 0.4339 0.2500 0.2433
Ga 0.5661 0.7500 0.7567
Ga 0.7500 0.0624 0.7491
Ga 0.7500 0.4376 0.7491
Ga 0.9339 0.7500 0.7567
Cu 0.0809 0.0191 0.7503
Cu 0.0809 0.4809 0.7503
Cu 0.2500 0.2500 0.7418
Cu 0.4191 0.0191 0.7503
Cu 0.4191 0.4809 0.7503
Cu 0.5809 0.5191 0.2497
Cu 0.5809 0.9809 0.2497
Cu 0.7500 0.7500 0.2582
Cu 0.9191 0.5191 0.2497
Cu 0.9191 0.9809 0.2497
Pd 0.2500 0.7500 0.7511
Pd 0.7500 0.2500 0.2489

Properties
Crystal system: orthorhombic
Calculated volume (Å³ per cell): 293.0
Energy relative to the elements (eV per atom): -0.1166
SG: Pmmn (59)


[20]
Compound: Ga6CuPd2
Source: Alexandria
Functional: PBE
Structure: relaxed

a b c (Å): 6.1200 6.5838 9.1349
angles (deg): 90.00 123.49 90.00
Positions (direct):
Ga 0.0580 0.1524 0.4199
Ga 0.0580 0.3476 0.9199
Ga 0.3163 0.6709 0.4479
Ga 0.3163 0.8291 0.9479
Ga 0.4210 0.5290 0.7970
Ga 0.4210 0.9710 0.2970
Ga 0.5790 0.0290 0.7030
Ga 0.5790 0.4710 0.2030
Ga 0.6837 0.1709 0.0521
Ga 0.6837 0.3291 0.5521
Ga 0.9420 0.6524 0.0801
Ga 0.9420 0.8476 0.5801
Cu 0.0000 0.0000 0.0000
Cu 0.0000 0.5000 0.5000
Pd 0.2180 0.1644 0.7478
Pd 0.2180 0.3356 0.2478
Pd 0.7820 0.6644 0.7522
Pd 0.7820 0.8356 0.2522

Properties
Crystal system: monoclinic
Calculated volume (Å³ per cell): 307.0
Energy relative to the elements (eV per atom): -0.2634
SG: P2_1/c (14)
E above lowest polymorph (kJ/mol of atoms): 5.7